This record from Alexandria describes crystalline CrFePd at its relaxed geometry. The functional is PBE-GGA.

Cell: 5.718 5.718 5.718 Å, 152.51 152.51 39.27°
Sites, in units of the cell vectors:
Cr (0.000, 0.000, 0.000)
Fe (0.643, 0.643, 0.000)
Pd (0.320, 0.320, 0.000)

**Energy of formation**: 0.126 eV per atom
**Symmetry**: I4mm
**M_tot**: 0.3 μB/cell
**D(E_F)**: 3.45 states/eV/f.u.

This record from Alexandria describes crystalline CrFe3Pd12 at its relaxed geometry. The functional is PBE-GGA.

Cell: 3.903 3.903 15.554 Å, 90.00 90.00 90.00°
Sites, in units of the cell vectors:
Cr (0.000, 0.000, 0.000)
Fe (0.000, 0.000, 0.250)
Fe (0.000, 0.000, 0.500)
Fe (0.000, 0.000, 0.750)
Pd (0.000, 0.500, 0.127)
Pd (0.000, 0.500, 0.376)
Pd (0.000, 0.500, 0.624)
Pd (0.000, 0.500, 0.873)
Pd (0.500, 0.000, 0.127)
Pd (0.500, 0.000, 0.376)
Pd (0.500, 0.000, 0.624)
Pd (0.500, 0.000, 0.873)
Pd (0.500, 0.500, 0.000)
Pd (0.500, 0.500, 0.251)
Pd (0.500, 0.500, 0.500)
Pd (0.500, 0.500, 0.749)

**Energy of formation**: -0.088 eV per atom
**Symmetry**: P4/mmm
**M_tot**: 9.9 μB/cell
**D(E_F)**: 17.60 states/eV/f.u.